No. 1
First-principles (PBE) data for a geometry-optimized InSiTc structure, as listed in the Alexandria database.

Cell and atoms, written as POSCAR:
```
InSiTc
1.0
5.224 0.002 0.000
3.221 4.113 0.000
-4.222 -2.057 2.287
Tc In Si
1 1 1
Direct
0.697 0.697 0.000 Tc
0.001 0.001 0.000 In
0.303 0.303 0.000 Si
```

Energy relative to the lowest polymorph listed for this composition: 0.53 eV/f.u.
Space group: I4mm, No. 107
Total magnetic moment: 0.000 μB/cell



No. 2
First-principles (PBE) data for a geometry-optimized In2SiTc structure, as listed in the Alexandria database.

Cell and atoms, written as POSCAR:
```
In2SiTc
1.0
4.020 0.000 0.000
0.000 3.712 0.008
0.000 1.853 5.125
In Si Tc
2 1 1
Direct
0.000 0.965 0.945 In
0.500 0.283 0.309 In
0.000 0.689 0.497 Si
0.500 0.563 0.749 Tc
```

Calculated total energy: -20.96 eV/cell
Space group: Pm, No. 6
Total magnetic moment: 0.000 μB/cell



No. 3
First-principles (PBE) data for a geometry-optimized InSi2Tc2 structure, as listed in the Alexandria database.

Cell and atoms, written as POSCAR:
```
InSi2Tc2
1.0
7.065 0.000 0.000
0.000 7.065 0.000
0.000 0.000 3.084
Si Tc In
4 4 2
Direct
0.359 0.141 0.500 Si
0.641 0.859 0.500 Si
0.859 0.359 0.500 Si
0.141 0.641 0.500 Si
0.351 0.851 0.000 Tc
0.649 0.149 0.000 Tc
0.851 0.649 0.000 Tc
0.149 0.351 0.000 Tc
0.000 0.000 0.000 In
0.500 0.500 0.000 In
```

Energy relative to the lowest polymorph listed for this composition: 0.51 eV/f.u.
Space group: P4/mbm, No. 127
Total magnetic moment: 0.000 μB/cell



No. 4
First-principles (PBE) data for a geometry-optimized In2SiTc structure, as listed in the Alexandria database.

Cell and atoms, written as POSCAR:
```
In2SiTc
1.0
-2.714 -1.568 0.535
0.645 -1.947 -2.430
3.760 -4.844 4.880
In Si Tc
2 1 1
Direct
0.500 0.500 0.299 In
0.000 0.000 0.940 In
0.000 0.000 0.566 Si
0.500 0.500 0.695 Tc
```

Calculated total energy: -21.14 eV/cell
Space group: P4mm, No. 99
Total magnetic moment: 0.000 μB/cell



No. 5
First-principles (PBE) data for a geometry-optimized In2SiTc structure, as listed in the Alexandria database.

Cell and atoms, written as POSCAR:
```
In2SiTc
1.0
7.770 0.000 0.000
0.000 7.770 0.000
3.885 3.885 2.710
In Tc Si
4 2 2
Direct
0.375 0.382 0.750 In
0.132 0.625 0.250 In
0.875 0.868 0.750 In
0.618 0.125 0.250 In
0.000 0.000 0.000 Tc
0.750 0.250 0.500 Tc
0.250 0.750 0.500 Si
0.500 0.500 0.000 Si
```

Calculated total energy: -36.78 eV/cell
Space group: I-42d, No. 122
Total magnetic moment: 3.215 μB/cell



No. 6
First-principles (PBE) data for a geometry-optimized InSi2Tc structure, as listed in the Alexandria database.

Cell and atoms, written as POSCAR:
```
InSi2Tc
1.0
2.966 -0.060 0.000
-1.002 2.792 0.000
0.000 0.000 8.228
Si In Tc
2 1 1
Direct
0.500 0.500 0.260 Si
0.000 0.000 0.037 Si
0.500 0.500 0.740 In
0.000 0.000 0.464 Tc
```

Calculated total energy: -22.58 eV/cell
Space group: Cmm2, No. 35
Total magnetic moment: 0.000 μB/cell



No. 7
First-principles (PBE) data for a geometry-optimized InSi2Tc structure, as listed in the Alexandria database.

Cell and atoms, written as POSCAR:
```
InSi2Tc
1.0
3.035 0.000 0.000
0.000 2.999 -0.238
0.000 0.627 7.756
In Si Tc
1 2 1
Direct
0.500 0.750 0.750 In
0.000 0.749 0.426 Si
0.000 0.751 0.074 Si
0.500 0.250 0.250 Tc
```

Calculated total energy: -24.16 eV/cell
Space group: P2/m, No. 10
Total magnetic moment: 0.000 μB/cell



No. 8
First-principles (PBE) data for a geometry-optimized In2SiTc2 structure, as listed in the Alexandria database.

Cell and atoms, written as POSCAR:
```
In2SiTc2
1.0
6.340 0.000 0.000
0.000 6.340 0.000
0.000 0.000 4.425
In Tc Si
4 4 2
Direct
0.167 0.667 0.500 In
0.833 0.333 0.500 In
0.333 0.167 0.500 In
0.667 0.833 0.500 In
0.356 0.856 0.000 Tc
0.856 0.644 0.000 Tc
0.644 0.144 0.000 Tc
0.144 0.356 0.000 Tc
0.000 0.000 0.000 Si
0.500 0.500 0.000 Si
```

Calculated total energy: -63.24 eV/cell
Space group: P4/mbm, No. 127
Total magnetic moment: 0.000 μB/cell



No. 9
First-principles (PBE) data for a geometry-optimized InSi2Tc structure, as listed in the Alexandria database.

Cell and atoms, written as POSCAR:
```
InSi2Tc
1.0
-2.035 4.645 0.556
-2.802 1.204 -4.089
0.376 -3.388 3.795
Tc Si In
1 2 1
Direct
0.750 0.250 0.500 Tc
0.980 0.980 0.000 Si
0.520 0.520 0.000 Si
0.250 0.750 0.500 In
```

Calculated total energy: -22.66 eV/cell
Space group: Immm, No. 71
Total magnetic moment: 0.000 μB/cell



No. 10
First-principles (PBE) data for a geometry-optimized In2SiTc structure, as listed in the Alexandria database.

Cell and atoms, written as POSCAR:
```
In2SiTc
1.0
6.471 0.601 0.074
3.606 5.407 -0.074
-4.442 -4.005 2.544
Tc In Si
1 2 1
Direct
0.267 0.767 0.500 Tc
0.052 0.052 0.000 In
0.749 0.249 0.500 In
0.432 0.432 0.000 Si
```

Calculated total energy: -20.33 eV/cell
Space group: Imm2, No. 44
Total magnetic moment: 0.000 μB/cell



No. 11
First-principles (PBE) data for a geometry-optimized InSi2Tc structure, as listed in the Alexandria database.

Cell and atoms, written as POSCAR:
```
InSi2Tc
1.0
4.260 0.000 0.000
0.000 3.318 0.007
0.000 1.651 4.757
Si In Tc
2 1 1
Direct
0.500 0.445 0.234 Si
0.000 0.022 0.081 Si
0.500 0.712 0.701 In
0.000 0.321 0.484 Tc
```

Calculated total energy: -23.69 eV/cell
Space group: Amm2, No. 38
Total magnetic moment: 0.000 μB/cell



No. 12
First-principles (PBE) data for a geometry-optimized InSi2Tc structure, as listed in the Alexandria database.

Cell and atoms, written as POSCAR:
```
InSi2Tc
1.0
-1.124 -4.115 1.259
1.211 -4.174 -0.944
3.694 -0.693 3.934
Tc Si In
1 2 1
Direct
0.492 0.492 0.613 Tc
0.002 0.002 0.948 Si
0.771 0.771 0.683 Si
0.234 0.234 0.256 In
```

Calculated total energy: -23.39 eV/cell
Space group: Cm, No. 8
Total magnetic moment: 0.000 μB/cell